Entry 1:
The following is a DFT calculation (PBE) of a relaxed Ba2LaZnSn crystal.

```
Ba2LaZnSn
1.0
6.564 0.000 0.000
0.000 6.564 0.000
0.000 0.000 6.059
Ba La Zn Sn
2 1 1 1
Cartesian
0.000 3.282 0.000
3.282 0.000 0.000
0.000 0.000 3.029
0.000 0.000 0.000
3.282 3.282 3.029
```

## Properties
As for the uncorrected energy: -2.69 eV per atom.



Entry 2:
The following is a DFT calculation (PBE) of a relaxed NaAsSBr2 crystal.

```
NaAsSBr2
1.0
5.083 0.000 0.000
0.000 5.083 0.000
0.000 0.000 6.453
Na As S Br
1 1 1 2
Cartesian
0.000 0.000 0.000
0.000 0.000 3.226
2.542 2.542 3.226
0.000 2.542 0.000
2.542 0.000 0.000
```

## Properties
As for the uncorrected energy: -2.06 eV per atom. Its energy above the most stable polymorph in this dataset is 3.209 eV/f.u. For the uncorrected formation energy, the calculation gives 625 meV/atom.